CsNi2I6: relaxed, PBE-GGA.

a b c (Å): 9.8999 9.8999 9.8999
angles (deg): 120.09 119.92 89.99
Fractional coordinates of all 18 atoms:
Cs1 0.3765 0.1265 0.2500
Cs2 0.6235 0.8735 0.7500
I1 0.3267 0.5759 0.1532
I2 0.6733 0.8265 0.2492
I3 0.6742 0.4242 0.2500
I4 0.0773 0.8273 0.2500
I5 0.0773 0.4241 0.2508
I6 0.9227 0.1735 0.3468
I7 0.0773 0.8265 0.6532
I8 0.9227 0.5759 0.7492
I9 0.9227 0.1727 0.7500
I10 0.3258 0.5758 0.7500
I11 0.3267 0.1735 0.7508
I12 0.6733 0.4241 0.8468
Ni1 0.0000 0.5000 0.0000
Ni2 0.5000 0.5000 0.0000
Ni3 0.0000 0.0000 0.5000
Ni4 0.0000 0.5000 0.5000

Summary:
Total energy ... -48.9 eV for the cell shown
Mass density ... 4.90 g/cm3
Volume ... 686 Å³/cell
Total magnetization ... 1.78 μB/f.u.